Compound: Be2ReTe
Source: Alexandria
Functional: PBE
Structure: optimized geometry

Values from the calculation:
* space-group type: Pm (6)
* D(E_F): 2.1 states/eV/f.u.
* energy: -5.379 eV/atom

Unit cell a=3.3791 b=3.1972 c=6.1464 alpha=74.76 beta=90.00 gamma=90.00
Last column: nearest neighbours and their distance in Å.
Fractional coordinates of all 4 atoms:
Be  0.0000  0.2736  0.0812  2 Be 2.20, 2 Re 2.34
Be  0.5000  0.1525  0.3200  2 Be 2.20, 4 Re 2.34
Te  0.5000  0.4463  0.7291  4 Be 2.69-2.91, 2 Re 2.72
Re  0.0000  0.6276  0.3697  6 Be 2.34